The following is a GGA+U calculation of an optimized crystal structure of CrAg2SF, from the Alexandria database.

## Properties
Total energy = -3.600 eV/atom
Spin magnetization = 4.21 μB/f.u.
Space-group type = No. 123

Structure (POSCAR):
```
CrAg2SF
1.0
-2.632 1.563 4.328
3.496 -0.813 2.420
1.687 4.966 -0.768
Cr S Ag F
1 1 2 1
Direct
0.000 0.000 0.000 Cr
0.000 0.500 0.000 S
0.000 0.000 0.500 Ag
0.500 0.000 0.000 Ag
0.500 0.500 0.500 F
```